Here is CoAg2Pt after structural relaxation from Alexandria. Energies are from PBE-GGA.

```
data_CoAg2Pt
_chemical_formula_sum 'Co1 Ag2 Pt1'
_cell_length_a 2.806
_cell_length_b 2.806
_cell_length_c 7.936
_cell_angle_alpha 90.00
_cell_angle_beta 90.00
_cell_angle_gamma 90.00
_symmetry_space_group_name_H-M 'P 1'
_symmetry_Int_Tables_number 1
loop_
_symmetry_equiv_pos_as_xyz
'x,y,z'
loop_
_atom_site_label
_atom_site_type_symbol
_atom_site_fract_x
_atom_site_fract_y
_atom_site_fract_z
Ag1 Ag 0.000 0.000 0.994
Ag2 Ag 0.500 0.500 0.270
Co1 Co 0.000 0.000 0.515
Pt1 Pt 0.500 0.500 0.722
```

- relative energy among the computed polymorphs (meV/atom) = 0
- energy (hartree per atom) = -0.170
- M_tot (μB per formula unit) = 2.07
- space-group type = P4mm, No. 99
- energy relative to the elements (eV/atom) = 0.09